Material: LiGePb
Method: DFT, PBE
State: relaxed

Values from the calculation:
Energy relative to the lowest polymorph listed for this composition = 0.26 eV per formula unit
Calculated formation energy = -0.0095 eV/atom
Spin magnetization = 0.0 μB per cell
Space group = F-43m, No. 216

Unit cell a=4.7765 b=4.7765 c=4.7765 alpha=60.00 beta=60.00 gamma=60.00
Closest atoms and distances in Å follow each position.
Fractional coordinates of all 3 atoms:
Li: 0.0000 0.0000 0.0000  4 Ge 2.92
Ge: 0.7500 0.7500 0.7500  4 Pb 2.92, 4 Li 2.92
Pb: 0.5000 0.5000 0.5000  4 Ge 2.92

Material: Li2GePb2
Method: DFT, PBE
State: relaxed

Values from the calculation:
Energy relative to the lowest polymorph listed for this composition = 1.04 eV per formula unit
Calculated formation energy = 0.0976 eV/atom
Spin magnetization = 0.0 μB per cell
Space group = I4/mmm, No. 139

Unit cell a=7.4046 b=7.4046 c=7.4046 alpha=146.91 beta=146.91 gamma=47.50
Closest atoms and distances in Å follow each position.
Fractional coordinates of all 5 atoms:
Li: 0.2500 0.7500 0.5000  4 Pb 2.87, 4 Li 2.98
Li: 0.7500 0.2500 0.5000  4 Pb 2.87, 4 Li 2.98
Ge: 0.0000 0.0000 0.0000  8 Pb 3.31
Pb: 0.3937 0.3937 0.0000  4 Li 2.87, 1 Pb 2.88
Pb: 0.6063 0.6063 0.0000  4 Li 2.87, 1 Pb 2.88

Material: Li3GePb
Method: DFT, PBE
State: relaxed

Values from the calculation:
Energy relative to the lowest polymorph listed for this composition = 0.00 eV per formula unit
Calculated formation energy = -0.2535 eV/atom
Spin magnetization = 0.0 μB per cell
Space group = C2/m, No. 12

Unit cell a=5.6205 b=5.6205 c=8.3470 alpha=99.49 beta=99.49 gamma=47.52
Closest atoms and distances in Å follow each position.
Fractional coordinates of all 10 atoms:
Li: 0.0364 0.0364 0.3267  1 Ge 2.67, 2 Li 2.95
Li: 0.2691 0.2691 0.7910  3 Ge 2.76-2.79, 1 Li 2.92, 2 Pb 3.05
Li: 0.4245 0.4245 0.1210  2 Ge 2.66, 4 Li 2.76-2.95, 1 Pb 2.91
Li: 0.5755 0.5755 0.8790  2 Ge 2.66, 4 Li 2.76-2.95, 1 Pb 2.91
Li: 0.7309 0.7309 0.2090  3 Ge 2.76-2.79, 1 Li 2.92, 2 Pb 3.05
Li: 0.9636 0.9636 0.6733  1 Ge 2.67, 2 Li 2.95
Ge: 0.1263 0.1263 0.0459  1 Ge 2.57, 6 Li 2.66-2.79
Ge: 0.8737 0.8737 0.9541  1 Ge 2.57, 6 Li 2.66-2.79
Pb: 0.3434 0.3434 0.4378  9 Li 2.91-3.26, 3 Pb 3.20-3.26
Pb: 0.6566 0.6566 0.5622  9 Li 2.91-3.26, 3 Pb 3.20-3.26

Material: Li3GePb
Method: DFT, PBE
State: relaxed

Values from the calculation:
Energy relative to the lowest polymorph listed for this composition = 1.23 eV per formula unit
Calculated formation energy = -0.0072 eV/atom
Spin magnetization = 0.0 μB per cell
Space group = Pm-3m, No. 221

Unit cell a=4.8022 b=4.8022 c=4.8022 alpha=90.00 beta=90.00 gamma=90.00
Closest atoms and distances in Å follow each position.
Fractional coordinates of all 5 atoms:
Li: 0.0000 0.0000 0.5000  2 Ge 2.40
Li: 0.0000 0.5000 0.0000  2 Ge 2.40
Li: 0.5000 0.0000 0.0000  2 Ge 2.40
Ge: 0.0000 0.0000 0.0000  6 Li 2.40
Pb: 0.5000 0.5000 0.5000  12 Li 3.40

Material: Li2GePb2
Method: DFT, PBE
State: relaxed

Values from the calculation:
Energy relative to the lowest polymorph listed for this composition = 0.43 eV per formula unit
Calculated formation energy = -0.0260 eV/atom
Spin magnetization = 0.0 μB per cell
Space group = P4/mbm, No. 127

Unit cell a=8.2104 b=8.2104 c=3.4164 alpha=90.00 beta=90.00 gamma=90.00
Closest atoms and distances in Å follow each position.
Fractional coordinates of all 10 atoms:
Li: 0.1670 0.3330 0.0000  6 Pb 2.85-3.03
Li: 0.3330 0.8330 0.0000  6 Pb 2.85-3.03
Li: 0.6670 0.1670 0.0000  6 Pb 2.85-3.03
Li: 0.8330 0.6670 0.0000  6 Pb 2.85-3.03
Ge: 0.0000 0.0000 0.5000  4 Pb 3.19, 2 Ge 3.42, 8 Li 3.50
Ge: 0.5000 0.5000 0.5000  4 Pb 3.19, 2 Ge 3.42, 8 Li 3.50
Pb: 0.1365 0.6365 0.5000  6 Li 2.85-3.03, 1 Pb 3.17, 2 Ge 3.19
Pb: 0.3635 0.1365 0.5000  6 Li 2.85-3.03, 1 Pb 3.17, 2 Ge 3.19
Pb: 0.6365 0.8635 0.5000  6 Li 2.85-3.03, 1 Pb 3.17, 2 Ge 3.19
Pb: 0.8635 0.3635 0.5000  6 Li 2.85-3.03, 1 Pb 3.17, 2 Ge 3.19

Material: LiGePdPb
Method: DFT, PBE
State: relaxed

Values from the calculation:
Calculated formation energy = -0.2237 eV/atom
Spin magnetization = 0.0 μB per cell
Space group = F-43m, No. 216

Unit cell a=4.7253 b=4.7253 c=4.7253 alpha=60.00 beta=60.00 gamma=60.00
Closest atoms and distances in Å follow each position.
Fractional coordinates of all 4 atoms:
Li: 0.0000 0.0000 0.0000  4 Ge 2.89, 4 Pb 2.89
Ge: 0.7500 0.7500 0.7500  4 Li 2.89, 4 Pd 2.89
Pd: 0.5000 0.5000 0.5000  4 Ge 2.89, 4 Pb 2.89
Pb: 0.2500 0.2500 0.2500  4 Li 2.89, 4 Pd 2.89

Question: Which value of spin magnetization does entry 2 give?
Answer: 0.0 μB per cell